[1]
Material: Pr2VO
Method: DFT, GGA+U
State: optimized geometry

Summary:
Final energy: -6.03 eV/atom
SG: R-3m (166)

abc: 3.5067 3.5067 9.4869
angles: 79.35 79.35 60.00
Fractional coordinates of all 4 atoms:
Pr 0.1132 0.1132 0.6603
Pr 0.8868 0.8868 0.3397
O 0.5000 0.5000 0.5000
V 0.0000 0.0000 0.0000

***

[2]
Material: PrV3O9
Method: DFT, GGA+U
State: optimized geometry

Summary:
Final energy: -7.70 eV/atom
SG: C222_1 (20)

abc: 7.5964 7.5964 7.8259
angles: 90.00 90.00 106.32
Fractional coordinates of all 26 atoms:
Pr 0.6086 0.6086 0.0000
Pr 0.3914 0.3914 0.5000
V 0.1561 0.7965 0.0318
V 0.8439 0.2035 0.5318
V 0.7965 0.1561 0.9682
V 0.2035 0.8439 0.4682
V 0.2487 0.2487 0.0000
V 0.7513 0.7513 0.5000
O 0.2441 0.0217 0.9364
O 0.7559 0.9783 0.4364
O 0.0217 0.2441 0.0636
O 0.9783 0.7559 0.5636
O 0.3427 0.3790 0.8269
O 0.6573 0.6210 0.3269
O 0.3790 0.3427 0.1731
O 0.6210 0.6573 0.6731
O 0.3239 0.6908 0.4908
O 0.6761 0.3092 0.9908
O 0.6908 0.3239 0.5092
O 0.3092 0.6761 0.0092
O 0.3141 0.0586 0.5338
O 0.6859 0.9414 0.0338
O 0.0586 0.3141 0.4662
O 0.9414 0.6859 0.9662
O 0.1421 0.8579 0.2500
O 0.8579 0.1421 0.7500

***

[3]
Material: PrVO3
Method: DFT, GGA+U
State: optimized geometry

Summary:
Final energy: -8.19 eV/atom
SG: Pnma (62)

abc: 5.5446 5.7308 7.8671
angles: 90.00 90.00 90.00
Fractional coordinates of all 20 atoms:
Pr 0.0163 0.4440 0.2500
Pr 0.9837 0.5560 0.7500
Pr 0.5163 0.0560 0.7500
Pr 0.4837 0.9440 0.2500
V 0.0000 0.0000 0.0000
V 0.5000 0.5000 0.0000
V 0.0000 0.0000 0.5000
V 0.5000 0.5000 0.5000
O 0.2999 0.2096 0.0485
O 0.7001 0.7904 0.9515
O 0.7999 0.2904 0.9515
O 0.7001 0.7904 0.5485
O 0.2001 0.7096 0.0485
O 0.2999 0.2096 0.4515
O 0.2001 0.7096 0.4515
O 0.7999 0.2904 0.5485
O 0.5935 0.5243 0.2500
O 0.4065 0.4757 0.7500
O 0.0935 0.9757 0.7500
O 0.9065 0.0243 0.2500

***

[4]
Material: Pr5V2O12
Method: DFT, GGA+U
State: optimized geometry

Summary:
Final energy: -8.10 eV/atom
SG: C2/m (12)

abc: 5.9776 7.0394 7.7112
angles: 105.74 90.00 115.12
Fractional coordinates of all 19 atoms:
Pr 0.3098 0.6196 0.6443
Pr 0.3095 0.6191 0.1660
Pr 0.0000 0.0000 0.5000
Pr 0.6905 0.3809 0.8340
Pr 0.6902 0.3804 0.3557
V 0.7685 0.0000 0.0000
V 0.2315 0.0000 0.0000
O 0.0012 0.0024 0.1774
O 0.1005 0.6926 0.9250
O 0.5921 0.6926 0.9250
O 0.0952 0.6897 0.4204
O 0.5945 0.6897 0.4204
O 0.5006 0.0012 0.8336
O 0.4994 0.9988 0.1664
O 0.9048 0.3103 0.5796
O 0.4055 0.3103 0.5796
O 0.8995 0.3074 0.0750
O 0.4079 0.3074 0.0750
O 0.9988 0.9976 0.8226

***

[5]
Material: PrVO5
Method: DFT, GGA+U
State: optimized geometry

Summary:
Final energy: -7.13 eV/atom
SG: C2/c (15)

abc: 5.6490 5.6490 7.6570
angles: 70.76 70.76 70.67
Fractional coordinates of all 14 atoms:
Pr 0.5595 0.4405 0.2500
Pr 0.4405 0.5595 0.7500
V 0.0000 0.0000 0.0000
V 0.0000 0.0000 0.5000
O 0.8106 0.7570 0.1029
O 0.2698 0.7084 0.4656
O 0.7570 0.8106 0.6029
O 0.9390 0.0610 0.2500
O 0.2916 0.7302 0.0344
O 0.7084 0.2698 0.9656
O 0.0610 0.9390 0.7500
O 0.2430 0.1894 0.3971
O 0.7302 0.2916 0.5344
O 0.1894 0.2430 0.8971

***

[6]
Material: Pr3V5O12
Method: DFT, GGA+U
State: optimized geometry

Summary:
Final energy: -8.05 eV/atom
SG: Ia-3d (230)

abc: 11.1631 11.1631 11.1631
angles: 109.47 109.47 109.47
Fractional coordinates of all 80 atoms:
Pr 0.7500 0.3750 0.1250
Pr 0.8750 0.7500 0.1250
Pr 0.3750 0.7500 0.6250
Pr 0.2500 0.1250 0.3750
Pr 0.8750 0.1250 0.2500
Pr 0.3750 0.6250 0.2500
Pr 0.6250 0.3750 0.7500
Pr 0.1250 0.8750 0.7500
Pr 0.7500 0.8750 0.6250
Pr 0.6250 0.2500 0.3750
Pr 0.1250 0.2500 0.8750
Pr 0.2500 0.6250 0.8750
V 0.1250 0.3750 0.2500
V 0.0000 0.5000 0.0000
V 0.0000 0.0000 0.0000
V 0.3750 0.2500 0.1250
V 0.5000 0.0000 0.5000
V 0.5000 0.5000 0.0000
V 0.1250 0.7500 0.3750
V 0.7500 0.1250 0.8750
V 0.7500 0.6250 0.3750
V 0.3750 0.1250 0.7500
V 0.6250 0.8750 0.2500
V 0.5000 0.5000 0.5000
V 0.5000 0.0000 0.0000
V 0.0000 0.0000 0.5000
V 0.2500 0.3750 0.6250
V 0.2500 0.8750 0.1250
V 0.0000 0.5000 0.5000
V 0.8750 0.2500 0.6250
V 0.6250 0.7500 0.8750
V 0.8750 0.6250 0.7500
O 0.7054 0.1220 0.0248
O 0.3195 0.5248 0.4028
O 0.9752 0.3780 0.2946
O 0.5248 0.2054 0.1220
O 0.5833 0.7054 0.6805
O 0.9752 0.5972 0.1805
O 0.3195 0.7946 0.4167
O 0.0972 0.9167 0.1220
O 0.5972 0.9752 0.6805
O 0.7054 0.5833 0.1805
O 0.7946 0.4752 0.3780
O 0.8195 0.9028 0.0248
O 0.1220 0.7054 0.5248
O 0.3780 0.4028 0.0833
O 0.0833 0.9028 0.3780
O 0.4167 0.1220 0.5972
O 0.0833 0.1805 0.2054
O 0.4752 0.6805 0.0972
O 0.8195 0.9167 0.2946
O 0.1220 0.4167 0.0972
O 0.3780 0.9752 0.7946
O 0.5972 0.6220 0.4167
O 0.9028 0.8195 0.5248
O 0.7946 0.3195 0.9167
O 0.4028 0.3780 0.5833
O 0.0972 0.1805 0.4752
O 0.2054 0.6805 0.0833
O 0.1805 0.0833 0.7054
O 0.6220 0.0248 0.2054
O 0.8780 0.5833 0.9028
O 0.5248 0.3195 0.9028
O 0.5833 0.8780 0.4028
O 0.9167 0.8195 0.7946
O 0.9167 0.0972 0.6220
O 0.8780 0.2946 0.4752
O 0.1805 0.0972 0.9752
O 0.6220 0.5972 0.9167
O 0.4028 0.0248 0.3195
O 0.2946 0.4167 0.8195
O 0.2054 0.5248 0.6220
O 0.9028 0.0833 0.8780
O 0.6805 0.2054 0.5833
O 0.4752 0.7946 0.8780
O 0.0248 0.4028 0.8195
O 0.4167 0.2946 0.3195
O 0.0248 0.6220 0.7054
O 0.6805 0.4752 0.5972
O 0.2946 0.8780 0.9752

***

[7]
Material: PrVO3
Method: DFT, GGA+U
State: optimized geometry

Summary:
Final energy: -7.98 eV/atom
SG: Pm-3m (221)

abc: 3.9350 3.9350 3.9350
angles: 90.00 90.00 90.00
Fractional coordinates of all 5 atoms:
Pr 0.0000 0.0000 0.0000
V 0.5000 0.5000 0.5000
O 0.0000 0.5000 0.5000
O 0.5000 0.5000 0.0000
O 0.5000 0.0000 0.5000

***

[8]
Material: PrVO3
Method: DFT, GGA+U
State: optimized geometry

Summary:
Final energy: -8.17 eV/atom
SG: C2/c (15)

abc: 5.6439 5.6439 9.7077
angles: 72.79 72.79 59.24
Fractional coordinates of all 20 atoms:
Pr 0.8907 0.3777 0.8674
Pr 0.6223 0.1093 0.6326
Pr 0.1093 0.6223 0.1326
Pr 0.3777 0.8907 0.3674
V 0.0000 0.5000 0.5000
V 0.5000 0.0000 0.0000
V 0.7473 0.2527 0.2500
V 0.2527 0.7473 0.7500
O 0.8474 0.8419 0.8504
O 0.1581 0.1526 0.6496
O 0.1526 0.1581 0.1496
O 0.8419 0.8474 0.3504
O 0.6576 0.6473 0.6529
O 0.3527 0.3424 0.8471
O 0.3424 0.3527 0.3471
O 0.6473 0.6576 0.1529
O 0.3199 0.8286 0.9209
O 0.1714 0.6801 0.5791
O 0.8286 0.3199 0.4209
O 0.6801 0.1714 0.0791

***

[9]
Material: Pr2VO6
Method: DFT, GGA+U
State: optimized geometry

Summary:
Final energy: -7.73 eV/atom
SG: P2_1/c (14)

abc: 5.4958 6.2988 7.4466
angles: 90.00 97.00 90.00
Fractional coordinates of all 18 atoms:
Pr 0.9583 0.4021 0.7497
Pr 0.5417 0.9021 0.7503
Pr 0.4583 0.0979 0.2497
Pr 0.0417 0.5979 0.2503
V 0.5000 0.5000 0.0000
V 0.0000 0.0000 0.5000
O 0.8652 0.9524 0.2621
O 0.8657 0.7324 0.5663
O 0.7888 0.6437 0.9513
O 0.7112 0.1437 0.5487
O 0.6343 0.2324 0.9337
O 0.6348 0.4524 0.2379
O 0.1348 0.0476 0.7379
O 0.1343 0.2676 0.4337
O 0.2112 0.3563 0.0487
O 0.2888 0.8563 0.4513
O 0.3657 0.7676 0.0663
O 0.3652 0.5476 0.7621

***

[10]
Material: PrV2ZnO6
Method: DFT, GGA+U
State: optimized geometry

Summary:
Final energy: -7.29 eV/atom
SG: Pc (7)

abc: 5.6447 5.4015 9.4166
angles: 55.04 90.00 90.00
Fractional coordinates of all 20 atoms:
Pr 0.8045 0.2655 0.7498
Pr 0.1955 0.2655 0.2498
V 0.2710 0.0038 0.9989
V 0.2755 0.4982 0.5022
V 0.7290 0.0038 0.4989
V 0.7245 0.4982 0.0022
Zn 0.1544 0.7722 0.7479
Zn 0.8456 0.7722 0.2479
O 0.2454 0.8295 0.2522
O 0.5518 0.2424 0.9570
O 0.5264 0.6499 0.5428
O 0.0472 0.7479 0.5519
O 0.0470 0.3617 0.9485
O 0.7749 0.1290 0.2487
O 0.7546 0.8295 0.7522
O 0.4736 0.6499 0.0428
O 0.4482 0.2424 0.4570
O 0.9528 0.7479 0.0519
O 0.9530 0.3617 0.4485
O 0.2251 0.1290 0.7487

***

[11]
Material: Pr2ZrVO6
Method: DFT, GGA+U
State: optimized geometry

Summary:
Final energy: -8.56 eV/atom
SG: P2_1/c (14)

abc: 5.6657 5.9297 8.1591
angles: 90.00 89.14 90.00
Fractional coordinates of all 20 atoms:
Pr 0.0177 0.9411 0.2522
Pr 0.5177 0.5589 0.7522
Pr 0.9823 0.0589 0.7478
Pr 0.4823 0.4411 0.2478
Zr 0.5000 0.0000 0.5000
Zr 0.0000 0.5000 0.0000
V 0.5000 0.0000 0.0000
V 0.0000 0.5000 0.5000
O 0.3006 0.6946 0.0553
O 0.8006 0.8054 0.5553
O 0.6994 0.3054 0.9447
O 0.1994 0.1946 0.4447
O 0.3069 0.7056 0.4376
O 0.8069 0.7944 0.9376
O 0.6931 0.2944 0.5624
O 0.1931 0.2056 0.0624
O 0.8854 0.5455 0.2466
O 0.3854 0.9545 0.7466
O 0.1146 0.4545 0.7534
O 0.6146 0.0455 0.2534

***

[12]
Material: PrWO4
Method: DFT, GGA+U
State: optimized geometry

Summary:
Final energy: -7.86 eV/atom
SG: Cmmm (65)

abc: 3.4037 7.3373 14.6633
angles: 90.00 103.42 90.00
Fractional coordinates of all 24 atoms:
Pr 0.8750 0.7498 0.8751
Pr 0.1250 0.2502 0.1249
Pr 0.3750 0.7502 0.3751
Pr 0.6250 0.2498 0.6249
W 0.8752 0.2502 0.3749
W 0.1248 0.7498 0.6251
W 0.3752 0.2498 0.8749
W 0.6248 0.7502 0.1251
O 0.6247 0.9207 0.6249
O 0.3753 0.0793 0.3751
O 0.1247 0.5793 0.1249
O 0.8753 0.4207 0.8751
O 0.9898 0.7495 0.4899
O 0.0102 0.2505 0.5101
O 0.4898 0.7505 0.9899
O 0.5102 0.2495 0.0101
O 0.8750 0.0790 0.8748
O 0.1250 0.9210 0.1252
O 0.3750 0.4210 0.3748
O 0.6250 0.5790 0.6252
O 0.7602 0.7498 0.2603
O 0.2398 0.2502 0.7397
O 0.2601 0.7503 0.7603
O 0.7399 0.2497 0.2397